MnIrO2F: relaxed, PBE+U.

Calculated values
* VASP energy: -31.4 eV/cell
* volume: 17.00 Å³ per atom

abc: 3.6994 3.6994 6.2127
angles: 90.00 90.00 90.00
Atoms (fractional coordinates):
Mn1 0.0000 0.0000 0.0000
Ir1 0.5000 0.5000 0.5000
O1 0.0000 0.5000 0.5000
O2 0.5000 0.0000 0.5000
F1 0.5000 0.5000 0.0000